Record 1
First-principles (PBE) data for a relaxed structure of Zr2MnMo, as listed in Alexandria.

a b c (Å): 4.6342 4.6342 4.6342
angles (deg): 60.00 60.00 60.00
Closest atoms and distances in Å follow each position.
Sites, in units of the cell vectors:
Zr: 0.2500 0.2500 0.2500  4 Mo 2.84, 4 Mn 2.84
Zr: 0.7500 0.7500 0.7500  4 Mo 2.84, 4 Mn 2.84
Mn: 0.0000 0.0000 0.0000  8 Zr 2.84
Mo: 0.5000 0.5000 0.5000  8 Zr 2.84

Values from the calculation:
ΔE_f   69.6 meV/atom
V   70 Å³/cell
Total magnetic moment   0.000 μB/f.u.
SG   Fm-3m (225)
D(E_F)   6.33 states/eV per cell
Final energy   -9.20 eV per atom

=====

Record 2
First-principles (PBE) data for a relaxed structure of MgFeOs, as listed in Alexandria.

a b c (Å): 4.4462 4.4462 5.1119
angles (deg): 90.00 90.00 119.01
Closest atoms and distances in Å follow each position.
Sites, in units of the cell vectors:
Mg: 0.1388 0.8612 0.7500  5 Os 2.56-2.62, 4 Fe 2.80
Mg: 0.8612 0.1388 0.2500  5 Os 2.56-2.62, 4 Fe 2.80
Fe: 0.5000 0.5000 0.0000  2 Fe 2.56, 2 Os 2.61, 4 Mg 2.80
Fe: 0.5000 0.5000 0.5000  2 Fe 2.56, 2 Os 2.61, 4 Mg 2.80
Os: 0.2031 0.7969 0.2500  5 Mg 2.56-2.62, 2 Fe 2.61
Os: 0.7969 0.2031 0.7500  5 Mg 2.56-2.62, 2 Fe 2.61

Values from the calculation:
ΔE_f   547.1 meV/atom
V   88 Å³/cell
Total magnetic moment   3.441 μB/f.u.
SG   Cmcm (63)
D(E_F)   4.99 states/eV per cell
Final energy   -6.55 eV per atom